# LaAg2Hg2, optimized geometry, DFT PBE
data_LaAg2Hg2
_symmetry_space_group_name_H-M 'I 4/m m m'
_symmetry_Int_Tables_number 139
_symmetry_space_group_name_Hall '-I 4 2'
_cell_length_a 4.279
_cell_length_b 4.279
_cell_length_c 13.474
_cell_angle_alpha 90.00
_cell_angle_beta 90.00
_cell_angle_gamma 90.00
loop_
_atom_site_label
_atom_site_fract_x
_atom_site_fract_y
_atom_site_fract_z
La1 0.000 0.000 0.000
Ag1 0.000 0.500 0.250
Hg1 0.000 0.000 0.391
# **Offset from the most stable computed form**: 65.7 meV/atom
# **Energy relative to the elements**: -199 meV per atom
# **V**: 24.67 Å³/atom